No. 1
DFT (GGA-PBE) results for an optimized crystal structure of LiErAu.

Cell: 6.652 6.652 6.652 Å, 90.00 90.00 90.00°
Space group F-43m (No. 216)
Symmetry-distinct sites (fractional):
Li1 0.000 0.000 0.000 x4
Er1 0.250 0.250 0.750 x4
Au1 0.000 0.000 0.500 x4

## Properties
V = 24.52 Å³ per atom

=====

No. 2
DFT (GGA-PBE) results for an optimized crystal structure of LiErAu.

Cell: 7.169 4.058 8.615 Å, 90.00 90.00 90.00°
Space group Pnma (No. 62)
Symmetry-distinct sites (fractional):
Li1 0.122 0.250 0.057 x4
Er1 0.053 0.250 0.679 x4
Au1 0.244 0.250 0.374 x4

## Properties
V = 20.89 Å³ per atom

=====

no.,energy relative to the lowest polymorph listed for this composition (meV per atom),E_tot (eV per atom)
1,541,-3.33
2,0,-3.88